DFT (SCAN) results for a crystal of Fe2CuHg relaxed with PBEsol.

Density: 11247 kg/m³
Relative energy among the computed polymorphs: 0.1817 eV per atom
Formation energy: 439 meV per atom
Magnetic moment: 17.5 Bohr magnetons per cell
V: 13.9 Å³ per atom

Cell lengths 2.715, 2.715, 26.076 Å; angles 90.00, 90.00, 120.00 degrees
Sites, in units of the cell vectors:
Fe1 0.000 0.000 0.243
Fe2 0.000 0.000 0.757
Fe3 0.333 0.667 0.424
Fe4 0.333 0.667 0.910
Fe5 0.667 0.333 0.090
Fe6 0.667 0.333 0.576
Cu1 0.000 0.000 0.500
Cu2 0.333 0.667 0.167
Cu3 0.667 0.333 0.833
Hg1 0.000 0.000 0.000
Hg2 0.333 0.667 0.667
Hg3 0.667 0.333 0.333

=====

DFT (SCAN) results for a crystal of MgB2H6O7 relaxed with PBEsol.

Raw total energy: -0.261 hartree per atom
Density: 2380 kg/m³
Magnetic moment: 0.0 Bohr magnetons per cell
V: 7.2 Å³ per atom

Cell lengths 7.523, 7.523, 8.084 Å; angles 90.00, 90.00, 90.00 degrees
Sites, in units of the cell vectors:
Mg1 0.000 0.000 0.000
Mg2 0.000 0.500 0.500
Mg3 0.500 0.000 0.500
Mg4 0.500 0.500 0.000
B1 0.127 0.864 0.358
B2 0.136 0.627 0.858
B3 0.364 0.873 0.858
B4 0.373 0.636 0.358
B5 0.627 0.364 0.642
B6 0.636 0.127 0.142
B7 0.864 0.373 0.142
B8 0.873 0.136 0.642
H1 0.064 0.366 0.793
H2 0.118 0.356 0.062
H3 0.120 0.787 0.606
H4 0.134 0.064 0.707
H5 0.144 0.118 0.438
H6 0.213 0.620 0.106
H7 0.287 0.880 0.106
H8 0.356 0.382 0.438
H9 0.366 0.436 0.707
H10 0.380 0.713 0.606
H11 0.382 0.144 0.062
H12 0.436 0.134 0.793
H13 0.564 0.866 0.207
H14 0.618 0.856 0.938
H15 0.620 0.287 0.394
H16 0.634 0.564 0.293
H17 0.644 0.618 0.562
H18 0.713 0.120 0.894
H19 0.787 0.380 0.894
H20 0.856 0.882 0.562
H21 0.866 0.936 0.293
H22 0.880 0.213 0.394
H23 0.882 0.644 0.938
H24 0.936 0.634 0.207
O1 0.019 0.272 0.086
O2 0.020 0.098 0.759
O3 0.045 0.770 0.503
O4 0.098 0.480 0.741
O5 0.228 0.019 0.414
O6 0.230 0.545 0.003
O7 0.250 0.750 0.266
O8 0.250 0.750 0.766
O9 0.270 0.955 0.003
O10 0.272 0.481 0.414
O11 0.402 0.020 0.741
O12 0.455 0.730 0.503
O13 0.480 0.402 0.759
O14 0.481 0.228 0.086
O15 0.519 0.772 0.914
O16 0.520 0.598 0.241
O17 0.545 0.270 0.497
O18 0.598 0.980 0.259
O19 0.728 0.519 0.586
O20 0.730 0.045 0.997
O21 0.750 0.250 0.234
O22 0.750 0.250 0.734
O23 0.770 0.455 0.997
O24 0.772 0.981 0.586
O25 0.902 0.520 0.259
O26 0.955 0.230 0.497
O27 0.980 0.902 0.241
O28 0.981 0.728 0.914

=====

DFT (SCAN) results for a crystal of NaNbO3 relaxed with PBEsol.

Formation energy without anion corrections: -2.630 eV per atom
Density: 4186 kg/m³
Magnetic moment: 0.0 Bohr magnetons per cell
V: 13.0 Å³ per atom

Cell lengths 6.061, 6.061, 6.061 Å; angles 52.58, 52.58, 52.58 degrees
Sites, in units of the cell vectors:
Na1 0.142 0.142 0.142
Na2 0.858 0.858 0.858
Nb1 0.351 0.351 0.351
Nb2 0.649 0.649 0.649
O1 0.060 0.471 0.687
O2 0.313 0.940 0.529
O3 0.471 0.687 0.060
O4 0.529 0.313 0.940
O5 0.687 0.060 0.471
O6 0.940 0.529 0.313

=====

DFT (SCAN) results for a crystal of Cd2HPdF relaxed with PBEsol.

Raw total energy: -0.752 hartree per atom
Density: 8323 kg/m³
Magnetic moment: 0.0 Bohr magnetons per cell
V: 14.0 Å³ per atom

Cell lengths 5.030, 5.030, 2.770 Å; angles 90.00, 90.00, 90.00 degrees
Sites, in units of the cell vectors:
Cd1 0.000 0.500 0.000
Cd2 0.500 0.000 0.000
H1 0.000 0.000 0.000
Pd1 0.500 0.500 0.500
F1 0.000 0.000 0.500

=====

DFT (SCAN) results for a crystal of BaSiSe4 relaxed with PBEsol.

Formation energy without anion corrections: 0.095 eV per atom
Density: 5698 kg/m³
Magnetic moment: 1.2 Bohr magnetons per cell
V: 23.4 Å³ per atom

Cell lengths 5.832, 5.832, 5.832 Å; angles 60.00, 60.00, 60.00 degrees
Sites, in units of the cell vectors:
Ba1 0.000 0.000 0.000
Si1 0.750 0.750 0.750
Se1 0.376 0.376 0.376
Se2 0.376 0.376 0.871
Se3 0.376 0.871 0.376
Se4 0.871 0.376 0.376

=====

DFT (SCAN) results for a crystal of KLiBi3 relaxed with PBEsol.

Density: 5475 kg/m³
Relative energy among the computed polymorphs: 0.9894 eV per atom
Formation energy: 874 meV per atom
Magnetic moment: 0.0 Bohr magnetons per cell
V: 40.8 Å³ per atom

Cell lengths 5.888, 5.888, 5.888 Å; angles 90.00, 90.00, 90.00 degrees
Sites, in units of the cell vectors:
K1 0.000 0.000 0.000
Li1 0.500 0.500 0.500
Bi1 0.000 0.000 0.500
Bi2 0.000 0.500 0.000
Bi3 0.500 0.000 0.000

=====

DFT (SCAN) results for a crystal of ZrSc2Ni2 relaxed with PBEsol.

Density: 5778 kg/m³
Formation energy: -360 meV per atom
Magnetic moment: 0.0 Bohr magnetons per cell
V: 17.2 Å³ per atom

Cell lengths 6.933, 6.933, 3.570 Å; angles 90.00, 90.00, 90.00 degrees
Sites, in units of the cell vectors:
Zr1 0.000 0.000 0.000
Zr2 0.500 0.500 0.000
Sc1 0.165 0.335 0.500
Sc2 0.335 0.835 0.500
Sc3 0.665 0.165 0.500
Sc4 0.835 0.665 0.500
Ni1 0.128 0.628 0.000
Ni2 0.372 0.128 0.000
Ni3 0.628 0.872 0.000
Ni4 0.872 0.372 0.000

=====

DFT (SCAN) results for a crystal of CsK2Hg2 relaxed with PBEsol.

Density: 4573 kg/m³
Relative energy among the computed polymorphs: 0.0000 eV per atom
Formation energy: -220 meV per atom
Magnetic moment: 0.0 Bohr magnetons per cell
V: 44.5 Å³ per atom

Cell lengths 5.487, 5.487, 14.769 Å; angles 90.00, 90.00, 90.00 degrees
Sites, in units of the cell vectors:
Cs1 0.000 0.000 0.000
Cs2 0.500 0.500 0.500
K1 0.000 0.500 0.250
K2 0.000 0.500 0.750
K3 0.500 0.000 0.250
K4 0.500 0.000 0.750
Hg1 0.000 0.000 0.403
Hg2 0.000 0.000 0.597
Hg3 0.500 0.500 0.097
Hg4 0.500 0.500 0.903

=====

DFT (SCAN) results for a crystal of YPOs relaxed with PBEsol.

Density: 8254 kg/m³
Formation energy: 661 meV per atom
Magnetic moment: 0.0 Bohr magnetons per cell
V: 20.8 Å³ per atom

Cell lengths 6.296, 6.296, 6.296 Å; angles 90.00, 90.00, 90.00 degrees
Sites, in units of the cell vectors:
Y1 0.000 0.000 0.000
Y2 0.000 0.500 0.500
Y3 0.500 0.000 0.500
Y4 0.500 0.500 0.000
P1 0.250 0.250 0.250
P2 0.250 0.750 0.750
P3 0.750 0.250 0.750
P4 0.750 0.750 0.250
Os1 0.250 0.250 0.750
Os2 0.250 0.750 0.250
Os3 0.750 0.250 0.250
Os4 0.750 0.750 0.750

=====

DFT (SCAN) results for a crystal of Tc2HgPb relaxed with PBEsol.

Density: 14172 kg/m³
Relative energy among the computed polymorphs: 0.3795 eV per atom
Formation energy: 835 meV per atom
Magnetic moment: 4.1 Bohr magnetons per cell
V: 17.7 Å³ per atom

Cell lengths 3.050, 3.050, 26.338 Å; angles 90.00, 90.00, 120.00 degrees
Sites, in units of the cell vectors:
Tc1 0.000 0.000 0.249
Tc2 0.000 0.000 0.751
Tc3 0.333 0.667 0.417
Tc4 0.333 0.667 0.916
Tc5 0.667 0.333 0.084
Tc6 0.667 0.333 0.583
Hg1 0.000 0.000 0.000
Hg2 0.333 0.667 0.667
Hg3 0.667 0.333 0.333
Pb1 0.000 0.000 0.500
Pb2 0.333 0.667 0.167
Pb3 0.667 0.333 0.833

=====

DFT (SCAN) results for a crystal of TcHgTe relaxed with PBEsol.

Formation energy without anion corrections: 0.485 eV per atom
Density: 10954 kg/m³
Magnetic moment: 0.0 Bohr magnetons per cell
V: 21.5 Å³ per atom

Cell lengths 6.370, 6.370, 6.370 Å; angles 90.00, 90.00, 90.00 degrees
Sites, in units of the cell vectors:
Tc1 0.000 0.000 0.000
Tc2 0.000 0.500 0.500
Tc3 0.500 0.000 0.500
Tc4 0.500 0.500 0.000
Hg1 0.250 0.250 0.250
Hg2 0.250 0.750 0.750
Hg3 0.750 0.250 0.750
Hg4 0.750 0.750 0.250
Te1 0.250 0.250 0.750
Te2 0.250 0.750 0.250
Te3 0.750 0.250 0.250
Te4 0.750 0.750 0.750

=====

DFT (SCAN) results for a crystal of NbSnSb2Pb relaxed with PBEsol.

Formation energy without anion corrections: 1.050 eV per atom
Density: 6785 kg/m³
Magnetic moment: 2.8 Bohr magnetons per cell
V: 32.4 Å³ per atom

Cell lengths 5.575, 5.575, 5.216 Å; angles 90.00, 90.00, 90.00 degrees
Sites, in units of the cell vectors:
Nb1 0.000 0.000 0.000
Sn1 0.000 0.000 0.500
Sb1 0.000 0.500 0.500
Sb2 0.500 0.000 0.500
Pb1 0.500 0.500 0.000

=====

DFT (SCAN) results for a crystal of InFeC2F relaxed with PBEsol.

Formation energy without anion corrections: 1.662 eV per atom
Density: 4757 kg/m³
Magnetic moment: 1.9 Bohr magnetons per cell
V: 14.9 Å³ per atom

Cell lengths 4.245, 4.245, 4.139 Å; angles 90.00, 90.00, 90.00 degrees
Sites, in units of the cell vectors:
In1 0.000 0.000 0.000
Fe1 0.500 0.500 0.500
C1 0.000 0.500 0.000
C2 0.500 0.000 0.000
F1 0.000 0.000 0.500

=====

DFT (SCAN) results for a crystal of Sc2CoCl relaxed with PBEsol.

Formation energy without anion corrections: -0.675 eV per atom
Density: 4326 kg/m³
Relative energy among the computed polymorphs: 0.2166 eV per atom
Magnetic moment: 0.0 Bohr magnetons per cell
V: 17.7 Å³ per atom

Cell lengths 3.097, 3.263, 13.999 Å; angles 90.00, 90.00, 90.00 degrees
Sites, in units of the cell vectors:
Sc1 0.000 0.000 0.000
Sc2 0.000 0.500 0.284
Sc3 0.500 0.000 0.784
Sc4 0.500 0.500 0.500
Co1 0.000 0.000 0.414
Co2 0.500 0.500 0.914
Cl1 0.000 0.500 0.667
Cl2 0.500 0.000 0.167

=====

DFT (SCAN) results for a crystal of Mn2TcRu relaxed with PBEsol.

Density: 10141 kg/m³
Formation energy: 72 meV per atom
Magnetic moment: 21.8 Bohr magnetons per cell
V: 12.6 Å³ per atom

Cell lengths 5.871, 5.871, 5.871 Å; angles 90.00, 90.00, 90.00 degrees
Sites, in units of the cell vectors:
Mn1 0.000 0.000 0.000
Mn2 0.000 0.500 0.500
Mn3 0.250 0.250 0.250
Mn4 0.250 0.750 0.750
Mn5 0.500 0.000 0.500
Mn6 0.500 0.500 0.000
Mn7 0.750 0.250 0.750
Mn8 0.750 0.750 0.250
Tc1 0.000 0.000 0.500
Tc2 0.000 0.500 0.000
Tc3 0.500 0.000 0.000
Tc4 0.500 0.500 0.500
Ru1 0.250 0.250 0.750
Ru2 0.250 0.750 0.250
Ru3 0.750 0.250 0.250
Ru4 0.750 0.750 0.750

=====

DFT (SCAN) results for a crystal of Mn3Te4 relaxed with PBEsol.

Formation energy without anion corrections: 0.218 eV per atom
Density: 7438 kg/m³
Magnetic moment: 12.3 Bohr magnetons per cell
V: 21.5 Å³ per atom

Cell lengths 5.465, 5.465, 5.828 Å; angles 90.00, 90.00, 120.00 degrees
Sites, in units of the cell vectors:
Mn1 0.000 0.500 0.000
Mn2 0.500 0.000 0.000
Mn3 0.500 0.500 0.000
Te1 0.000 0.000 0.243
Te2 0.000 0.000 0.757
Te3 0.333 0.667 0.500
Te4 0.667 0.333 0.500

=====

DFT (SCAN) results for a crystal of K2ReMo relaxed with PBEsol.

Density: 7260 kg/m³
Relative energy among the computed polymorphs: 0.0434 eV per atom
Formation energy: 1483 meV per atom
Magnetic moment: 0.0 Bohr magnetons per cell
V: 20.6 Å³ per atom

Cell lengths 5.254, 11.911, 2.634 Å; angles 90.00, 90.00, 90.00 degrees
Sites, in units of the cell vectors:
K1 0.250 0.250 0.000
K2 0.250 0.750 0.000
K3 0.750 0.250 0.000
K4 0.750 0.750 0.000
Re1 0.000 0.000 0.500
Re2 0.500 0.500 0.500
Mo1 0.000 0.500 0.500
Mo2 0.500 0.000 0.500

=====

DFT (SCAN) results for a crystal of Y3TaSi relaxed with PBEsol.

Formation energy without anion corrections: 0.797 eV per atom
Density: 5408 kg/m³
Relative energy among the computed polymorphs: 0.2358 eV per atom
Magnetic moment: 0.0 Bohr magnetons per cell
V: 29.2 Å³ per atom

Cell lengths 5.267, 5.267, 5.267 Å; angles 90.00, 90.00, 90.00 degrees
Sites, in units of the cell vectors:
Y1 0.000 0.000 0.500
Y2 0.000 0.500 0.000
Y3 0.500 0.000 0.000
Ta1 0.000 0.000 0.000
Si1 0.500 0.500 0.500

=====

DFT (SCAN) results for a crystal of Nb2Zn2Cd relaxed with PBEsol.

Density: 7800 kg/m³
Formation energy: 446 meV per atom
Magnetic moment: 0.0 Bohr magnetons per cell
V: 18.3 Å³ per atom

Cell lengths 3.777, 3.777, 12.807 Å; angles 90.00, 90.00, 90.00 degrees
Sites, in units of the cell vectors:
Nb1 0.000 0.000 0.093
Nb2 0.000 0.000 0.907
Nb3 0.500 0.500 0.407
Nb4 0.500 0.500 0.593
Zn1 0.000 0.500 0.250
Zn2 0.000 0.500 0.750
Zn3 0.500 0.000 0.250
Zn4 0.500 0.000 0.750
Cd1 0.000 0.000 0.500
Cd2 0.500 0.500 0.000

=====

DFT (SCAN) results for a crystal of MnTcIr2 relaxed with PBEsol.

Density: 16678 kg/m³
Relative energy among the computed polymorphs: 0.0026 eV per atom
Formation energy: -359 meV per atom
Magnetic moment: 2.9 Bohr magnetons per cell
V: 13.4 Å³ per atom

Cell lengths 2.679, 3.746, 5.330 Å; angles 90.00, 90.00, 90.00 degrees
Sites, in units of the cell vectors:
Mn1 0.000 0.000 0.000
Tc1 0.000 0.000 0.500
Ir1 0.500 0.500 0.246
Ir2 0.500 0.500 0.754